Record 1
{"formula": "Ta2IrSe", "functional": "PBEsol", "state": "optimized geometry", "total_energy_ev_per_atom": -9.677, "m_tot_mub_per_cell": 0.00, "lattice_angstrom": [[3.0668, 0.0000, 0.0000], [0.0000, 4.6087, -0.1908], [-1.5334, -0.7376, 4.6639]], "species": ["Ta", "Ta", "Se", "Ir"], "frac_coords": [[0.7532, 0.7640, 0.5065], [0.2468, 0.2360, 0.4935], [0.0000, 0.5000, 0.0000], [0.5000, 0.0000, 0.0000]]}


Record 2
{"formula": "TaIr4Se", "functional": "PBEsol", "state": "optimized geometry", "total_energy_ev_per_atom": -8.901, "m_tot_mub_per_cell": 0.00, "lattice_angstrom": [[5.1451, 0.0000, 0.0000], [2.5726, 4.4558, 0.0000], [2.5726, 1.4853, 4.2010]], "species": ["Ir", "Ir", "Ir", "Ir", "Se", "Ta"], "frac_coords": [[0.3748, 0.3748, 0.3748], [0.8755, 0.3748, 0.3748], [0.3748, 0.3748, 0.8755], [0.3748, 0.8755, 0.3748], [0.7500, 0.7500, 0.7500], [0.0000, 0.0000, 0.0000]]}


Record 3
{"formula": "TaIrSe2", "functional": "PBEsol", "state": "optimized geometry", "total_energy_ev_per_atom": -7.734, "m_tot_mub_per_cell": 0.00, "de_polymorph_mev_per_atom": 0, "lattice_angstrom": [[3.1366, 0.0000, 0.0000], [0.0000, 4.3941, 0.0087], [-1.5683, -0.7983, 6.1211]], "species": ["Ir", "Ta", "Se", "Se"], "frac_coords": [[0.5000, 0.0000, 0.0000], [0.0000, 0.5000, 0.0000], [0.3397, 0.2796, 0.6794], [0.6603, 0.7204, 0.3206]]}